Record 1
A plane-wave DFT calculation with PBE was carried out for a relaxed Y6BeSe5 crystal.

CIF file:
```
data_Y6BeSe5
_space_group_name_H-M_alt 'P 1'
_space_group_IT_number 1
_cell_length_a 7.0645
_cell_length_b 7.0997
_cell_length_c 7.0811
_cell_angle_alpha 59.91
_cell_angle_beta 80.37
_cell_angle_gamma 70.50
loop_
_space_group_symop_operation_xyz
'x,y,z'
loop_
_atom_site_label
_atom_site_type_symbol
_atom_site_fract_x
_atom_site_fract_y
_atom_site_fract_z
Y1 Y 0.7638 0.0782 0.3136
Y2 Y 0.2362 0.6081 0.3136
Y3 Y 0.2394 0.2329 0.0000
Y4 Y 0.7606 0.7671 0.0000
Y5 Y 0.7638 0.3919 0.6864
Y6 Y 0.2362 0.9218 0.6864
Be1 Be 0.0000 0.0000 0.0000
Se1 Se 0.5000 0.1741 0.6518
Se2 Se 0.0000 0.3348 0.3305
Se3 Se 0.5000 0.5000 0.0000
Se4 Se 0.0000 0.6652 0.6695
Se5 Se 0.5000 0.8259 0.3482
```

Crystal system: monoclinic
Magnetic moment, μB per formula unit: 0.00
DOS(E_F), states/eV per cell: 3.6
Uncorrected formation energy, eV per atom: -1.52
Space-group type: C2/m, No. 12
E_tot, eV per atom: -6.52

---

Record 2
A plane-wave DFT calculation with PBE was carried out for a relaxed RbH2S2 crystal.

CIF file:
```
data_RbH2S2
_space_group_name_H-M_alt 'P 1'
_space_group_IT_number 1
_cell_length_a 3.2144
_cell_length_b 5.8349
_cell_length_c 5.7892
_cell_angle_alpha 119.96
_cell_angle_beta 90.00
_cell_angle_gamma 90.00
loop_
_space_group_symop_operation_xyz
'x,y,z'
loop_
_atom_site_label
_atom_site_type_symbol
_atom_site_fract_x
_atom_site_fract_y
_atom_site_fract_z
Rb1 Rb 0.2000 0.0283 0.0580
H1 H 0.2000 0.6572 0.3195
H2 H 0.7000 0.3306 0.6534
S1 S 0.2000 0.3761 0.7499
S2 S 0.7000 0.6078 0.2192
```

Crystal system: monoclinic
Magnetic moment, μB per formula unit: 0.00
DOS(E_F), states/eV per cell: 2.0
Space-group type: Pm, No. 6
E_tot, eV per atom: -3.24